Entry 1:
First-principles (PBE) data for an optimized crystal structure of NaTe2, as listed in the Alexandria database.

Properties
- Symmetry: No. 139
- ΔE_f (raw): -360 meV per atom
- Relative energy among the computed polymorphs: 3.9 meV per atom
- DOS at the Fermi energy: 1.43 states/eV/cell

Lattice parameters (Å, degrees): 4.1937 4.1937 6.2476 109.58 109.58 90.02
Last column: nearest neighbours and their distance in Å.
Atoms (fractional coordinates):
Na: 0.5000 0.5000 0.0000  8 Te 3.27
Te: 0.8745 0.8745 0.7491  1 Te 2.76
Te: 0.1255 0.1255 0.2509  1 Te 2.76



Entry 2:
First-principles (PBE) data for an optimized crystal structure of NaTe3, as listed in the Alexandria database.

Properties
- Symmetry: No. 229
- ΔE_f (raw): -382 meV per atom
- Relative energy among the computed polymorphs: 3.5 meV per atom
- DOS at the Fermi energy: 0.13 states/eV/cell

Lattice parameters (Å, degrees): 5.4476 5.4476 5.4476 109.47 109.47 109.47
Last column: nearest neighbours and their distance in Å.
Atoms (fractional coordinates):
Te: 0.5000 0.0000 0.5000  2 Na 3.15, 4 Te 3.15
Te: 0.0000 0.5000 0.5000  4 Te 3.15, 2 Na 3.15
Te: 0.5000 0.5000 0.0000  4 Te 3.15, 2 Na 3.15
Na: 0.0000 0.0000 0.0000  6 Te 3.15



Entry 3:
First-principles (PBE) data for an optimized crystal structure of NaTe, as listed in the Alexandria database.

Properties
- Symmetry: No. 60
- ΔE_f (raw): -706 meV per atom

Lattice parameters (Å, degrees): 9.1674 10.0920 15.9749 90.00 90.00 90.00
Last column: nearest neighbours and their distance in Å.
Atoms (fractional coordinates):
Te: 0.2500 0.0705 0.5000  8 Na 3.09-3.17
Te: 0.1945 0.6375 0.3664  2 Te 2.89-3.11, 2 Na 3.21-3.24
Te: 0.0104 0.2560 0.7540  1 Te 2.89, 1 Na 3.16
Te: 0.6945 0.3625 0.3664  2 Te 2.89-3.11, 2 Na 3.21-3.24
Te: 0.2500 0.5705 0.0000  8 Na 3.09-3.17
Te: 0.9896 0.7440 0.2460  1 Te 2.89, 1 Na 3.16
Te: 0.3055 0.6375 0.6336  2 Te 2.89-3.11, 2 Na 3.21-3.24
Te: 0.0000 0.5000 0.5000  2 Te 3.11, 6 Na 3.30-3.47
Te: 0.1945 0.1375 0.1336  2 Te 2.89-3.11, 2 Na 3.21-3.24
Te: 0.4896 0.7560 0.2540  1 Te 2.89, 1 Na 3.16
Te: 0.0000 0.0000 0.0000  2 Te 3.11, 6 Na 3.30-3.47
Te: 0.5104 0.7440 0.7540  1 Te 2.89, 1 Na 3.16
Te: 0.8055 0.3625 0.6336  2 Te 2.89-3.11, 2 Na 3.21-3.24
Te: 0.8055 0.8625 0.8664  2 Te 2.89-3.11, 2 Na 3.21-3.24
Te: 0.6945 0.8625 0.1336  2 Te 2.89-3.11, 2 Na 3.21-3.24
Te: 0.4896 0.2560 0.2460  1 Te 2.89, 1 Na 3.16
Te: 0.9896 0.2440 0.2540  1 Te 2.89, 1 Na 3.16
Te: 0.3055 0.1375 0.8664  2 Te 2.89-3.11, 2 Na 3.21-3.24
Te: 0.7500 0.4295 0.0000  8 Na 3.09-3.17
Te: 0.0104 0.7560 0.7460  1 Te 2.89, 1 Na 3.16
Te: 0.5000 0.5000 0.5000  2 Te 3.11, 6 Na 3.30-3.47
Te: 0.5104 0.2440 0.7460  1 Te 2.89, 1 Na 3.16
Te: 0.7500 0.9295 0.5000  8 Na 3.09-3.17
Te: 0.5000 0.0000 0.0000  2 Te 3.11, 6 Na 3.30-3.47
Na: 0.2596 0.8263 0.1136  6 Te 3.16-3.47
Na: 0.2142 0.4824 0.1895  5 Te 3.17-3.52, 1 Na 3.54
Na: 0.9401 0.6810 0.0291  5 Te 3.09-3.41
Na: 0.7142 0.5176 0.1895  5 Te 3.17-3.52, 1 Na 3.54
Na: 0.4401 0.8190 0.4709  5 Te 3.09-3.41
Na: 0.2404 0.3263 0.6136  6 Te 3.16-3.47
Na: 0.7858 0.5176 0.8105  5 Te 3.17-3.52, 1 Na 3.54
Na: 0.2858 0.9824 0.6895  5 Te 3.17-3.52, 1 Na 3.54
Na: 0.0599 0.3190 0.9709  5 Te 3.09-3.41
Na: 0.7596 0.6737 0.3864  6 Te 3.16-3.47
Na: 0.7596 0.1737 0.1136  6 Te 3.16-3.47
Na: 0.9401 0.1810 0.4709  5 Te 3.09-3.41
Na: 0.0599 0.8190 0.5291  5 Te 3.09-3.41
Na: 0.4401 0.3190 0.0291  5 Te 3.09-3.41
Na: 0.2142 0.9824 0.3105  5 Te 3.17-3.52, 1 Na 3.54
Na: 0.7858 0.0176 0.6895  5 Te 3.17-3.52, 1 Na 3.54
Na: 0.2858 0.4824 0.8105  5 Te 3.17-3.52, 1 Na 3.54
Na: 0.5599 0.6810 0.9709  5 Te 3.09-3.41
Na: 0.2404 0.8263 0.8864  6 Te 3.16-3.47
Na: 0.5599 0.1810 0.5291  5 Te 3.09-3.41
Na: 0.7404 0.1737 0.8864  6 Te 3.16-3.47
Na: 0.7142 0.0176 0.3105  5 Te 3.17-3.52, 1 Na 3.54
Na: 0.7404 0.6737 0.6136  6 Te 3.16-3.47
Na: 0.2596 0.3263 0.3864  6 Te 3.16-3.47